NaLi5Tl4 | PBE-GGA | optimized geometry

Its symmetry is No. 123. The electronic total energy comes out at -2.2135 eV/atom. The formation energy from the elements is -0.18 eV per atom.

Unit cell a=3.4534 b=3.4534 c=18.5894 alpha=90.00 beta=90.00 gamma=90.00
Fractional coordinates of all 10 atoms:
Li 0.5000 0.5000 0.8744
Tl 0.0000 0.0000 0.7888
Li 0.5000 0.5000 0.6920
Li 0.5000 0.5000 0.3080
Tl 0.0000 0.0000 0.2112
Li 0.5000 0.5000 0.5000
Tl 0.0000 0.0000 0.4032
Li 0.5000 0.5000 0.1256
Na 0.0000 0.0000 0.0000
Tl 0.0000 0.0000 0.5968



Na2LiTl9 | PBE-GGA | optimized geometry

Its symmetry is No. 123. The electronic total energy comes out at -2.2226 eV/atom. The formation energy from the elements is -0.07 eV per atom.

Unit cell a=4.8351 b=4.8351 c=14.5881 alpha=90.00 beta=90.00 gamma=90.00
Fractional coordinates of all 12 atoms:
Tl 0.5000 0.5000 0.0000
Na 0.0000 0.0000 0.3282
Tl 0.5000 0.0000 0.5000
Tl 0.0000 0.5000 0.1583
Tl 0.5000 0.0000 0.8417
Tl 0.5000 0.0000 0.1583
Li 0.0000 0.0000 0.0000
Tl 0.5000 0.5000 0.6686
Na 0.0000 0.0000 0.6718
Tl 0.0000 0.5000 0.8417
Tl 0.0000 0.5000 0.5000
Tl 0.5000 0.5000 0.3314



Na4LiTl2 | PBE-GGA | optimized geometry

Its symmetry is No. 11. As for the energy above the most stable polymorph in this dataset: 0.281 kcal/mol of atoms. The electronic total energy comes out at -1.7470 eV/atom. The formation energy from the elements is -0.04 eV per atom.

Unit cell a=8.5477 b=6.1493 c=8.9811 alpha=90.00 beta=121.15 gamma=90.00
Fractional coordinates of all 14 atoms:
Na 0.0745 0.7500 0.8395
Tl 0.1760 0.2500 0.9936
Li 0.2434 0.7500 0.2516
Na 0.5732 0.9985 0.2192
Na 0.5732 0.5015 0.2192
Na 0.9829 0.2500 0.5753
Tl 0.3675 0.2500 0.4203
Na 0.9255 0.2500 0.1605
Na 0.4268 0.0015 0.7808
Na 0.4268 0.4985 0.7808
Na 0.0171 0.7500 0.4247
Li 0.7566 0.2500 0.7484
Tl 0.6325 0.7500 0.5797
Tl 0.8240 0.7500 0.0064



NaLiTl3 | PBE-GGA | optimized geometry

Its symmetry is No. 62. As for the energy above the most stable polymorph in this dataset: 0.000 kcal/mol of atoms. The electronic total energy comes out at -2.1393 eV/atom. The formation energy from the elements is -0.07 eV per atom.

Unit cell a=6.0870 b=8.6312 c=10.5175 alpha=90.00 beta=90.00 gamma=90.00
Fractional coordinates of all 20 atoms:
Tl 0.0902 0.8291 0.0148
Tl 0.5902 0.6709 0.0148
Na 0.2119 0.1232 0.2500
Tl 0.4098 0.3291 0.9852
Tl 0.7888 0.4147 0.7500
Tl 0.5902 0.6709 0.4852
Tl 0.0902 0.8291 0.4852
Li 0.0000 0.5000 0.0000
Na 0.7119 0.3768 0.2500
Tl 0.2112 0.5853 0.2500
Li 0.5000 0.0000 0.0000
Li 0.5000 0.0000 0.5000
Li 0.0000 0.5000 0.5000
Tl 0.4098 0.3291 0.5148
Tl 0.9098 0.1709 0.9852
Tl 0.2888 0.0853 0.7500
Tl 0.9098 0.1709 0.5148
Na 0.7881 0.8768 0.7500
Tl 0.7112 0.9147 0.2500
Na 0.2881 0.6232 0.7500



Na3Li2Tl2 | PBE-GGA | optimized geometry

Its symmetry is No. 65. As for the energy above the most stable polymorph in this dataset: 0.108 kcal/mol of atoms. The electronic total energy comes out at -1.8947 eV/atom. The formation energy from the elements is -0.11 eV per atom.

Unit cell a=3.4967 b=4.3714 c=12.3313 alpha=100.21 beta=90.00 gamma=90.00
Fractional coordinates of all 7 atoms:
Na 0.5000 0.5928 0.1855
Li 0.5000 0.2837 0.5674
Na 0.5000 0.4072 0.8145
Tl 0.0000 0.8254 0.6508
Na 0.0000 0.0000 0.0000
Tl 0.0000 0.1746 0.3492
Li 0.5000 0.7163 0.4326



Na2LiTl4 | PBE-GGA | optimized geometry

Its symmetry is No. 139. As for the energy above the most stable polymorph in this dataset: 0.000 kcal/mol of atoms. The electronic total energy comes out at -2.0813 eV/atom. The formation energy from the elements is -0.08 eV per atom.

Unit cell a=4.9001 b=4.9001 c=8.5993 alpha=106.55 beta=106.55 gamma=90.00
Fractional coordinates of all 7 atoms:
Tl 0.6024 0.1024 0.2047
Tl 0.1024 0.6024 0.2047
Li 0.0000 0.0000 0.0000
Tl 0.8976 0.3976 0.7953
Na 0.7519 0.7519 0.5039
Na 0.2481 0.2481 0.4961
Tl 0.3976 0.8976 0.7953